(1)
# LiLa2YCo, optimized geometry, DFT PBE
data_LiLa2YCo
_chemical_formula_sum 'Li1 La2 Y1 Co1'
_cell_length_a 5.318
_cell_length_b 5.318
_cell_length_c 5.497
_cell_angle_alpha 90.00
_cell_angle_beta 90.00
_cell_angle_gamma 90.00
_space_group_name_H-M_alt 'P 1'
_space_group_IT_number 1
loop_
_space_group_symop_operation_xyz
'x,y,z'
loop_
_atom_site_label
_atom_site_type_symbol
_atom_site_fract_x
_atom_site_fract_y
_atom_site_fract_z
Li1 Li 0.000 0.000 0.000
La1 La 0.000 0.500 0.500
La2 La 0.500 0.000 0.500
Y1 Y 0.500 0.500 0.000
Co1 Co 0.500 0.500 0.500
# - N(E_F) (states/eV per atom) = 1.0427
# - symmetry = P4/mmm, No. 123

***

(2)
# Tb4Sn3Hg, optimized geometry, DFT PBE
data_Tb4Sn3Hg
_chemical_formula_sum 'Tb4 Sn3 Hg1'
_cell_length_a 4.357
_cell_length_b 4.458
_cell_length_c 11.489
_cell_angle_alpha 90.00
_cell_angle_beta 90.00
_cell_angle_gamma 90.00
_space_group_name_H-M_alt 'P 1'
_space_group_IT_number 1
loop_
_space_group_symop_operation_xyz
'x,y,z'
loop_
_atom_site_label
_atom_site_type_symbol
_atom_site_fract_x
_atom_site_fract_y
_atom_site_fract_z
Tb1 Tb 0.000 0.000 0.000
Tb2 Tb 0.000 0.500 0.499
Tb3 Tb 0.500 0.000 0.272
Tb4 Tb 0.500 0.500 0.773
Sn1 Sn 0.000 0.000 0.727
Sn2 Sn 0.000 0.500 0.222
Sn3 Sn 0.500 0.000 0.542
Hg1 Hg 0.500 0.500 0.044
# - N(E_F) (states/eV per atom) = 0.9241
# - symmetry = Pmm2, No. 25

***

Number 1: formation energy from the elements -1 kJ/mol of atoms. Number 2: formation energy from the elements -64 kJ/mol of atoms.